1.
The following is a DFT calculation (GGA-PBE) of an optimized crystal structure of LiTc2Ni.

Properties
- Total DFT energy (no corrections): -6.936 eV/atom
- Polymorph energy (0 for the lowest one): 0.061 eV per atom
- M_tot: 0.084 Bohr magnetons per cell
- ΔH_f (0 K): 0.17 eV/atom

Cell lengths 4.844, 4.844, 2.519 Å; angles 90.00, 90.00, 118.17 degrees
Sites, in units of the cell vectors:
Li1 0.000 0.000 0.000
Tc1 0.000 0.500 0.500
Tc2 0.500 0.000 0.500
Ni1 0.500 0.500 0.000

2.
The following is a DFT calculation (GGA-PBE) of an optimized crystal structure of La2Nd4Ge3H2.

Properties
- Total DFT energy (no corrections): -5.089 eV/atom
- M_tot: 0.023 Bohr magnetons per cell

Cell lengths 12.757, 12.757, 12.757 Å; angles 158.59, 158.59, 30.46 degrees
Sites, in units of the cell vectors:
La1 0.202 0.202 0.000
La2 0.798 0.798 0.000
Nd1 0.080 0.580 0.500
Nd2 0.420 0.920 0.500
Nd3 0.580 0.080 0.500
Nd4 0.920 0.420 0.500
Ge1 0.330 0.330 0.000
Ge2 0.500 0.500 0.000
Ge3 0.670 0.670 0.000
H1 0.099 0.099 0.000
H2 0.901 0.901 0.000

3.
The following is a DFT calculation (GGA-PBE) of an optimized crystal structure of LaPuBrO4.

Properties
- Raw formation energy: -2487 meV per atom
- Total DFT energy (no corrections): -8.311 eV/atom
- M_tot: 4.462 Bohr magnetons per cell

Cell lengths 6.841, 6.841, 6.606 Å; angles 93.57, 93.57, 64.31 degrees
Sites, in units of the cell vectors:
La1 0.228 0.228 0.097
La2 0.772 0.772 0.903
Pu1 0.379 0.379 0.636
Pu2 0.621 0.621 0.364
Br1 0.024 0.024 0.753
Br2 0.976 0.976 0.247
O1 0.138 0.505 0.845
O2 0.237 0.237 0.484
O3 0.449 0.449 0.309
O4 0.495 0.862 0.155
O5 0.505 0.138 0.845
O6 0.551 0.551 0.691
O7 0.763 0.763 0.516
O8 0.862 0.495 0.155

4.
The following is a DFT calculation (GGA-PBE) of an optimized crystal structure of Ac2PrHo.

Properties
- Total DFT energy (no corrections): -4.351 eV/atom
- Polymorph energy (0 for the lowest one): 0.008 eV per atom
- M_tot: 0.000 Bohr magnetons per cell
- ΔH_f (0 K): 0.04 eV/atom

Cell lengths 3.879, 3.879, 10.323 Å; angles 90.00, 90.00, 90.00 degrees
Sites, in units of the cell vectors:
Ac1 0.000 0.000 0.243
Ac2 0.000 0.000 0.757
Pr1 0.500 0.500 0.500
Ho1 0.500 0.500 0.000

5.
The following is a DFT calculation (GGA-PBE) of an optimized crystal structure of PuGeHPd.

Properties
- Total DFT energy (no corrections): -7.366 eV/atom
- M_tot: 5.055 Bohr magnetons per cell

Cell lengths 4.441, 4.441, 3.733 Å; angles 90.00, 90.00, 120.00 degrees
Sites, in units of the cell vectors:
Pu1 0.000 0.000 0.000
Ge1 0.333 0.667 0.500
H1 0.667 0.333 0.000
Pd1 0.667 0.333 0.500

6.
The following is a DFT calculation (GGA-PBE) of an optimized crystal structure of DyPd2Pb.

Properties
- Total DFT energy (no corrections): -5.370 eV/atom
- M_tot: 0.000 Bohr magnetons per cell
- ΔH_f (0 K): -0.70 eV/atom

Cell lengths 4.873, 4.873, 4.873 Å; angles 60.00, 60.00, 60.00 degrees
Sites, in units of the cell vectors:
Dy1 0.000 0.000 0.000
Pd1 0.250 0.250 0.250
Pd2 0.750 0.750 0.750
Pb1 0.500 0.500 0.500

What is the total DFT energy (no corrections) in the first record?
-6.936 eV/atom